# 1
# MgRe2Pb

A PBEsol-optimized structure of MgRe2Pb (SCAN, Alexandria).

The structure in CIF format:
```
data_MgRe2Pb
_cell_length_a 5.426
_cell_length_b 8.629
_cell_length_c 2.960
_cell_angle_alpha 90.00
_cell_angle_beta 90.00
_cell_angle_gamma 90.00
_space_group_name_H-M_alt 'C m m m'
_space_group_IT_number 65
_space_group_name_Hall '-C 2 2'
loop_
_atom_site_label
_atom_site_type_symbol
_atom_site_fract_x
_atom_site_fract_y
_atom_site_fract_z
_atom_site_occupancy
Mg1 Mg 0.000 0.000 0.000 1
Re1 Re 0.250 0.250 0.500 1
Pb1 Pb 0.000 0.500 0.000 1
```

Computed properties:
The value obtained for the size of the total moment is 0.000 μB per atom. Its polymorph energy (0 for the lowest one) is 385 meV/atom. The calculation puts the total energy at -54.74 eV per atom. The formation energy from the elements comes out at 1.00 eV/atom.

# 2
# MgRe2Pb

A PBEsol-optimized structure of MgRe2Pb (SCAN, Alexandria).

The structure in CIF format:
```
data_MgRe2Pb
_cell_length_a 2.851
_cell_length_b 4.326
_cell_length_c 6.014
_cell_angle_alpha 90.00
_cell_angle_beta 90.00
_cell_angle_gamma 90.00
_space_group_name_H-M_alt 'P m m m'
_space_group_IT_number 47
_space_group_name_Hall '-P 2 2'
loop_
_atom_site_label
_atom_site_type_symbol
_atom_site_fract_x
_atom_site_fract_y
_atom_site_fract_z
_atom_site_occupancy
Mg1 Mg 0.000 0.000 0.000 1
Re1 Re 0.500 0.500 0.193 1
Pb1 Pb 0.000 0.000 0.500 1
```

Computed properties:
The value obtained for the size of the total moment is 0.000 μB per atom. Its polymorph energy (0 for the lowest one) is 152 meV/atom. The calculation puts the total energy at -54.97 eV per atom. The formation energy from the elements comes out at 0.76 eV/atom.

# 3
# MgRe2Pb

A PBEsol-optimized structure of MgRe2Pb (SCAN, Alexandria).

The structure in CIF format:
```
data_MgRe2Pb
_cell_length_a 4.028
_cell_length_b 4.508
_cell_length_c 7.829
_cell_angle_alpha 90.00
_cell_angle_beta 90.00
_cell_angle_gamma 90.00
_space_group_name_H-M_alt 'I m m 2'
_space_group_IT_number 44
_space_group_name_Hall 'I 2 -2'
loop_
_atom_site_label
_atom_site_type_symbol
_atom_site_fract_x
_atom_site_fract_y
_atom_site_fract_z
_atom_site_occupancy
Mg1 Mg 0.000 0.000 0.000 1
Re1 Re 0.000 0.000 0.536 1
Re2 Re 0.000 0.500 0.222 1
Pb1 Pb 0.000 0.500 0.771 1
```

Computed properties:
The value obtained for the size of the total moment is 0.000 μB per atom. Its polymorph energy (0 for the lowest one) is 0 meV/atom. The calculation puts the total energy at -55.12 eV per atom. The formation energy from the elements comes out at 0.61 eV/atom.

# 4
# Mg2RhPb

A PBEsol-optimized structure of Mg2RhPb (SCAN, Alexandria).

The structure in CIF format:
```
data_Mg2RhPb
_cell_length_a 4.237
_cell_length_b 4.237
_cell_length_c 4.107
_cell_angle_alpha 90.00
_cell_angle_beta 90.00
_cell_angle_gamma 90.00
_space_group_name_H-M_alt 'P 4/m m m'
_space_group_IT_number 123
_space_group_name_Hall '-P 4 2'
loop_
_atom_site_label
_atom_site_type_symbol
_atom_site_fract_x
_atom_site_fract_y
_atom_site_fract_z
_atom_site_occupancy
Mg1 Mg 0.000 0.500 0.000 1
Rh1 Rh 0.000 0.000 0.500 1
Pb1 Pb 0.500 0.500 0.500 1
```

Computed properties:
The value obtained for the size of the total moment is 0.000 μB per atom. The calculation puts the total energy at -30.14 eV per atom. The formation energy from the elements comes out at -0.27 eV/atom.

# 5
# MgRhPb2

A PBEsol-optimized structure of MgRhPb2 (SCAN, Alexandria).

The structure in CIF format:
```
data_MgRhPb2
_cell_length_a 9.184
_cell_length_b 3.471
_cell_length_c 5.581
_cell_angle_alpha 90.00
_cell_angle_beta 104.23
_cell_angle_gamma 90.00
_space_group_name_H-M_alt 'C 1 2/m 1'
_space_group_IT_number 12
_space_group_name_Hall '-C 2y'
loop_
_atom_site_label
_atom_site_type_symbol
_atom_site_fract_x
_atom_site_fract_y
_atom_site_fract_z
_atom_site_occupancy
Mg1 Mg 0.000 0.000 0.000 1
Rh1 Rh 0.000 0.500 0.500 1
Pb1 Pb 0.234 0.000 0.727 1
```

Computed properties:
The value obtained for the size of the total moment is 0.000 μB per atom. The calculation puts the total energy at -47.59 eV per atom. The formation energy from the elements comes out at -0.02 eV/atom.

# 6
# Mg2RhPb

A PBEsol-optimized structure of Mg2RhPb (SCAN, Alexandria).

The structure in CIF format:
```
data_Mg2RhPb
_cell_length_a 3.233
_cell_length_b 3.233
_cell_length_c 7.472
_cell_angle_alpha 90.00
_cell_angle_beta 90.00
_cell_angle_gamma 90.00
_space_group_name_H-M_alt 'P 4/m m m'
_space_group_IT_number 123
_space_group_name_Hall '-P 4 2'
loop_
_atom_site_label
_atom_site_type_symbol
_atom_site_fract_x
_atom_site_fract_y
_atom_site_fract_z
_atom_site_occupancy
Mg1 Mg 0.000 0.000 0.190 1
Rh1 Rh 0.500 0.500 0.000 1
Pb1 Pb 0.500 0.500 0.500 1
```

Computed properties:
The value obtained for the size of the total moment is 0.000 μB per atom. The calculation puts the total energy at -30.27 eV per atom. The formation energy from the elements comes out at -0.40 eV/atom.

# 7
# Mg2RhPb2

A PBEsol-optimized structure of Mg2RhPb2 (SCAN, Alexandria).

The structure in CIF format:
```
data_Mg2RhPb2
_cell_length_a 3.709
_cell_length_b 3.709
_cell_length_c 16.648
_cell_angle_alpha 90.00
_cell_angle_beta 90.00
_cell_angle_gamma 90.00
_space_group_name_H-M_alt 'I 4/m m m'
_space_group_IT_number 139
_space_group_name_Hall '-I 4 2'
loop_
_atom_site_label
_atom_site_type_symbol
_atom_site_fract_x
_atom_site_fract_y
_atom_site_fract_z
_atom_site_occupancy
Mg1 Mg 0.000 0.500 0.250 1
Rh1 Rh 0.000 0.000 0.000 1
Pb1 Pb 0.000 0.000 0.410 1
```

Computed properties:
The value obtained for the size of the total moment is 0.000 μB per atom. The calculation puts the total energy at -38.70 eV per atom. The formation energy from the elements comes out at 0.36 eV/atom.

# 8
# MgRhPb2

A PBEsol-optimized structure of MgRhPb2 (SCAN, Alexandria).

The structure in CIF format:
```
data_MgRhPb2
_cell_length_a 3.4650
_cell_length_b 3.4650
_cell_length_c 25.9627
_cell_angle_alpha 90.00
_cell_angle_beta 90.00
_cell_angle_gamma 120.00
_space_group_name_H-M_alt 'R -3 m'
_space_group_IT_number 166
_space_group_name_Hall '-R 3 2"'
loop_
_atom_site_label
_atom_site_type_symbol
_atom_site_fract_x
_atom_site_fract_y
_atom_site_fract_z
_atom_site_occupancy
Mg1 Mg 0.0000 0.0000 0.0000 1
Rh1 Rh 0.0000 0.0000 0.5000 1
Pb1 Pb 0.0000 0.0000 0.2393 1
```

Computed properties:
The value obtained for the size of the total moment is 0.000 μB per atom. The calculation puts the total energy at -47.59 eV per atom. The formation energy from the elements comes out at -0.02 eV/atom.

Number 2 is which compound? MgRe2Pb